A geometry-optimized LaGa2CuSi structure, computed with GGA-PBE.

Lattice parameters (Å, degrees): 4.261 4.335 10.218 90.00 90.00 90.00
Space group Imm2 (No. 44)
Unique sites:
La (0.000, 0.000, 0.000) [2 per cell]
Ga (0.000, 0.000, 0.620) [2 per cell]
Ga (0.000, 0.500, 0.253) [2 per cell]
Cu (0.000, 0.500, 0.757) [2 per cell]
Si (0.000, 0.000, 0.380) [2 per cell]

Results
- Uncorrected formation energy: -0.500 eV/atom
- Calculated volume: 189 Å³ per cell
- DFT total energy: -4.6000 eV/atom

A geometry-optimized CaPmNd4 structure, computed with GGA-PBE.

Lattice parameters (Å, degrees): 3.669 5.272 11.133 90.00 90.01 90.00
Space group P2/m (No. 10)
Unique sites:
Ca (0.000, 0.000, 0.000) [1 per cell]
Pm (0.500, 0.500, 0.500) [1 per cell]
Nd (0.001, 0.000, 0.338) [2 per cell]
Nd (0.499, 0.500, 0.822) [2 per cell]

Results
- Calculated volume: 215 Å³ per cell
- DFT formation energy: 0.9 kcal/mol of atoms
- DFT total energy: -4.2664 eV/atom